This record from the Alexandria database describes a geometry-optimized Ag2Te structure. The functional is PBE.

Output
As for the density of states at the Fermi level: 0.6 states/eV/cell. The symmetry is C2/m. The value obtained for the calculated volume is 140.1 Å³ per cell. The value obtained for the uncorrected energy is -0.1073 Ha/atom. The calculation puts the total moment at 0.000 μB per atom.

Lattice parameters (Å, degrees): 7.2191 7.2191 7.3748 61.97 61.97 24.57
Element x y z (fractional)
1 Ag 0.9339 0.9339 0.0048
2 Ag 0.6218 0.6218 0.7200
3 Ag 0.4338 0.4338 0.6690
4 Ag 0.1216 0.1216 0.3842
5 Te 0.3404 0.3404 0.3987
6 Te 0.7152 0.7152 0.9903

This record from the Alexandria database describes a geometry-optimized AgTe structure. The functional is PBE.

Output
As for the density of states at the Fermi level: 2.8 states/eV/cell. The symmetry is R-3m. The value obtained for the calculated volume is 102.5 Å³ per cell. The value obtained for the uncorrected energy is -0.1076 Ha/atom. The calculation puts the total moment at 0.000 μB per atom.

Lattice parameters (Å, degrees): 6.6976 6.6976 6.6976 38.06 38.06 38.06
Element x y z (fractional)
1 Te 0.1045 0.1045 0.1045
2 Te 0.8955 0.8955 0.8955
3 Ag 0.3700 0.3700 0.3700
4 Ag 0.6300 0.6300 0.6300

This record from the Alexandria database describes a geometry-optimized Ag3Te4 structure. The functional is PBE.

Output
As for the density of states at the Fermi level: 4.5 states/eV/cell. The calculation puts the energy above the most stable polymorph in this dataset at 56 meV per atom. The symmetry is Pm-3m. The value obtained for the calculated volume is 191.6 Å³ per cell. The calculation puts the total moment at 0.000 μB per atom.

Lattice parameters (Å, degrees): 5.7645 5.7645 5.7645 90.00 90.00 90.00
Element x y z (fractional)
1 Ag 0.0000 0.5000 0.0000
2 Ag 0.0000 0.0000 0.5000
3 Ag 0.5000 0.0000 0.0000
4 Te 0.0000 0.0000 0.0000
5 Te 0.0000 0.5000 0.5000
6 Te 0.5000 0.0000 0.5000
7 Te 0.5000 0.5000 0.0000

This record from the Alexandria database describes a geometry-optimized Ag5Te2 structure. The functional is PBE.

Output
As for the density of states at the Fermi level: 5.0 states/eV/cell. The calculation puts the energy above the most stable polymorph in this dataset at 0 meV per atom. The symmetry is Cccm. The value obtained for the calculated volume is 312.1 Å³ per cell. The calculation puts the total moment at 0.000 μB per atom.

Lattice parameters (Å, degrees): 6.1038 6.0217 9.0220 90.00 109.77 90.00
Element x y z (fractional)
1 Ag 0.3855 0.5001 0.2618
2 Ag 0.1238 0.9999 0.7382
3 Ag 0.2448 0.7498 0.4900
4 Ag 0.7547 0.7502 0.5100
5 Ag 0.7552 0.2502 0.5100
6 Ag 0.2453 0.2498 0.4900
7 Ag 0.8762 0.0001 0.2618
8 Ag 0.6145 0.4999 0.7382
9 Ag 0.9998 0.2500 0.0000
10 Ag 0.0002 0.7500 0.0000
11 Te 0.1538 0.4998 0.7755
12 Te 0.3783 0.0002 0.2245
13 Te 0.8462 0.5002 0.2245
14 Te 0.6217 0.9998 0.7755

This record from the Alexandria database describes a geometry-optimized AgTe3 structure. The functional is PBE.

Output
As for the density of states at the Fermi level: 6.5 states/eV/cell. The symmetry is Pm-3m. The value obtained for the calculated volume is 167.3 Å³ per cell. The value obtained for the uncorrected energy is -0.0895 Ha/atom. The calculation puts the total moment at 0.000 μB per atom.

Lattice parameters (Å, degrees): 5.5106 5.5106 5.5106 90.00 90.00 90.00
Element x y z (fractional)
1 Te 0.5000 0.0000 0.0000
2 Te 0.0000 0.5000 0.0000
3 Te 0.0000 0.0000 0.5000
4 Ag 0.0000 0.0000 0.0000

This record from the Alexandria database describes a geometry-optimized Ag2Te structure. The functional is PBE.

Output
As for the density of states at the Fermi level: 1.4 states/eV/cell. The symmetry is Imma. The value obtained for the calculated volume is 143.9 Å³ per cell. The value obtained for the uncorrected energy is -0.1013 Ha/atom. The calculation puts the total moment at 0.000 μB per atom.

Lattice parameters (Å, degrees): 10.1942 10.1942 10.1942 161.87 154.10 31.80
Element x y z (fractional)
1 Ag 0.7931 0.0431 0.7500
2 Ag 0.2069 0.9569 0.2500
3 Ag 0.9416 0.1916 0.7500
4 Ag 0.0584 0.8084 0.2500
5 Te 0.3622 0.6122 0.7500
6 Te 0.6378 0.3878 0.2500

This record from the Alexandria database describes a geometry-optimized AgTe3 structure. The functional is PBE.

Output
As for the density of states at the Fermi level: 3.4 states/eV/cell. The symmetry is P4/mmm. The value obtained for the calculated volume is 116.5 Å³ per cell. The value obtained for the uncorrected energy is -0.1114 Ha/atom. The calculation puts the total moment at 0.000 μB per atom.

Lattice parameters (Å, degrees): 6.2073 4.3351 4.3307 90.00 90.00 90.00
Element x y z (fractional)
1 Te 0.0000 0.0000 0.8332
2 Te 0.0000 0.5000 0.3332
3 Te 0.5000 0.5000 0.3336
4 Ag 0.5000 0.0000 0.8334

This record from the Alexandria database describes a geometry-optimized AgTe structure. The functional is PBE.

Output
As for the density of states at the Fermi level: 1.6 states/eV/cell. The symmetry is F-43m. The value obtained for the calculated volume is 63.5 Å³ per cell. The value obtained for the uncorrected energy is -0.1073 Ha/atom. The calculation puts the total moment at 0.000 μB per atom.

Lattice parameters (Å, degrees): 4.4775 4.4775 4.4775 60.00 60.00 60.00
Element x y z (fractional)
1 Te 0.7500 0.7500 0.7500
2 Ag 0.0000 0.0000 0.0000

This record from the Alexandria database describes a geometry-optimized Ag4Te structure. The functional is PBE.

Output
As for the density of states at the Fermi level: 2.3 states/eV/cell. The calculation puts the energy above the most stable polymorph in this dataset at 368 meV per atom. The symmetry is Im-3m. The value obtained for the calculated volume is 134.2 Å³ per cell. The calculation puts the total moment at 0.000 μB per atom.

Lattice parameters (Å, degrees): 5.5861 5.5861 5.5861 109.47 109.47 109.47
Element x y z (fractional)
1 Ag 0.5000 0.0000 0.0000
2 Ag 0.5000 0.5000 0.5000
3 Ag 0.0000 0.5000 0.0000
4 Ag 0.0000 0.0000 0.5000
5 Te 0.0000 0.0000 0.0000

This record from the Alexandria database describes a geometry-optimized Ag2Te structure. The functional is PBE.

Output
As for the density of states at the Fermi level: 1.5 states/eV/cell. The symmetry is P-3m1. The value obtained for the calculated volume is 71.4 Å³ per cell. The value obtained for the uncorrected energy is -0.1039 Ha/atom. The calculation puts the total moment at 0.000 μB per atom.

Lattice parameters (Å, degrees): 4.4034 4.4034 4.2543 90.00 90.00 120.00
Element x y z (fractional)
1 Te 0.0000 0.0000 0.0000
2 Ag 0.6667 0.3333 0.6675
3 Ag 0.3333 0.6667 0.3325

This record from the Alexandria database describes a geometry-optimized AgTe structure. The functional is PBE.

Output
As for the density of states at the Fermi level: 0.9 states/eV/cell. The symmetry is P4/nmm. The value obtained for the calculated volume is 102.0 Å³ per cell. The value obtained for the uncorrected energy is -0.1058 Ha/atom. The calculation puts the total moment at 0.000 μB per atom.

Lattice parameters (Å, degrees): 3.1637 3.1637 10.1923 90.00 90.00 90.00
Element x y z (fractional)
1 Te 0.2500 0.2500 0.6853
2 Te 0.7500 0.7500 0.3147
3 Ag 0.2500 0.2500 0.0944
4 Ag 0.7500 0.7500 0.9056

This record from the Alexandria database describes a geometry-optimized AgTe3 structure. The functional is PBE.

Output
As for the density of states at the Fermi level: 1.5 states/eV/cell. The symmetry is R-3m. The value obtained for the calculated volume is 114.5 Å³ per cell. The value obtained for the uncorrected energy is -0.1115 Ha/atom. The calculation puts the total moment at 0.000 μB per atom.

Lattice parameters (Å, degrees): 7.4105 7.4105 7.4105 34.17 34.17 34.17
Element x y z (fractional)
1 Te 0.7417 0.7417 0.7417
2 Te 0.5000 0.5000 0.5000
3 Te 0.2583 0.2583 0.2583
4 Ag 0.0000 0.0000 0.0000

This record from the Alexandria database describes a geometry-optimized Ag2Te structure. The functional is PBE.

Output
As for the density of states at the Fermi level: 1.0 states/eV/cell. The symmetry is R3m. The value obtained for the calculated volume is 73.5 Å³ per cell. The value obtained for the uncorrected energy is -0.1085 Ha/atom. The calculation puts the total moment at 0.000 μB per atom.

Lattice parameters (Å, degrees): 4.6834 4.6834 4.6834 60.55 60.55 60.55
Element x y z (fractional)
1 Te 0.0306 0.0306 0.0306
2 Ag 0.7780 0.7780 0.7780
3 Ag 0.5248 0.5248 0.5248